(1)
Material: CoSnTeN2
Method: DFT, PBE-GGA
State: optimized geometry

Values from the calculation:
Uncorrected formation energy: 112.7 kJ/mol of atoms
Symmetry: P4/mmm (123)
Offset from the most stable computed form: 0.0 meV per atom
Magnetic moment: 3.49 μB per formula unit

Geometry as POSCAR:
```
CoSnTeN2
1.0
4.012 0.000 0.000
0.000 4.012 0.000
0.000 0.000 5.214
Co Sn Te N
1 1 1 2
Direct
0.000 0.000 0.000
0.500 0.500 0.500
0.000 0.000 0.500
0.000 0.500 0.000
0.500 0.000 0.000
```


(2)
Material: La2Y6Tm3Sc
Method: DFT, PBE-GGA
State: optimized geometry

Values from the calculation:
Symmetry: C2/m (12)
E_form: 36 meV/atom
Magnetic moment: 0.00 μB per formula unit

Geometry as POSCAR:
```
La2Y6Tm3Sc
1.0
6.156 -0.001 0.003
-3.077 5.332 0.003
-1.030 -1.783 11.613
Tm Y La Sc
3 6 2 1
Direct
0.834 0.166 0.500
0.500 0.500 0.500
0.166 0.834 0.500
0.245 0.245 0.746
0.916 0.586 0.746
0.414 0.084 0.254
0.755 0.755 0.254
0.586 0.916 0.746
0.084 0.414 0.254
0.667 0.333 0.000
0.333 0.667 0.000
0.000 0.000 0.000
```